Entry from Alexandria: Co2MoP after structural relaxation (GGA-PBE).

Unit cell a=4.911 b=4.911 c=2.681 alpha=104.18 beta=104.18 gamma=119.24
Sites, in units of the cell vectors:
Co 0.000 0.500 0.000
Co 0.500 0.000 0.000
Mo 0.000 0.000 0.500
P 0.500 0.500 0.500

Summary:
Magnetization, μB per formula unit: 1.68
Energy of formation from the pure elements, meV/atom: 100.1
SG: C2/m, No. 12
ρ, g/cm³: 8.2